Entry 1:
VASP calculation (PBE-GGA) on a relaxed YHgNF2 crystal.

POSCAR file:
```
YHgNF2
1.0
4.323 0.000 0.000
0.000 4.323 0.000
0.000 0.000 4.802
F Hg N Y
2 1 1 1
Direct
0.000 0.500 0.000
0.500 0.000 0.000
0.500 0.500 0.500
0.000 0.000 0.500
0.000 0.000 0.000
```

Results
Relative energy among the computed polymorphs in meV/atom: 0.0
Space group: P4/mmm

Entry 2:
VASP calculation (PBE-GGA) on a relaxed YHgNF2 crystal.

POSCAR file:
```
YHgNF2
1.0
4.436 0.000 0.000
0.000 4.436 0.000
0.000 0.000 4.326
N Y Hg F
1 1 1 2
Direct
0.000 0.000 0.500
0.500 0.500 0.500
0.000 0.000 0.000
0.000 0.500 0.000
0.500 0.000 0.000
```

Results
Relative energy among the computed polymorphs in meV/atom: 965.8
Space group: P4/mmm

Entry 3:
VASP calculation (PBE-GGA) on a relaxed Na2HgF2 crystal.

POSCAR file:
```
Na2HgF2
1.0
4.435 0.000 0.000
0.000 4.435 0.000
2.218 2.218 6.218
Hg Na F
1 2 2
Direct
0.000 0.000 0.000
0.250 0.750 0.500
0.750 0.250 0.500
0.276 0.276 0.449
0.724 0.724 0.551
```

Results
Relative energy among the computed polymorphs in meV/atom: 0.0
Space group: I4/mmm

Entry 4:
VASP calculation (PBE-GGA) on a relaxed NaHg2F8 crystal.

POSCAR file:
```
NaHg2F8
1.0
-4.350 1.042 1.045
1.187 -2.167 5.939
2.316 4.230 4.256
F Na Hg
8 1 2
Direct
0.768 0.562 0.562
0.371 0.943 0.335
0.629 0.057 0.665
0.916 0.218 0.218
0.629 0.665 0.057
0.371 0.335 0.943
0.232 0.438 0.438
0.084 0.782 0.782
0.000 0.000 0.000
0.591 0.335 0.335
0.409 0.665 0.665
```

Results
Relative energy among the computed polymorphs in meV/atom: 27.1
Space group: C2/m

Entry 5:
VASP calculation (PBE-GGA) on a relaxed Na4Hg6F19 crystal.

POSCAR file:
```
Na4Hg6F19
1.0
8.134 0.000 -2.876
-4.067 7.044 -2.876
0.000 0.000 8.627
Na F Hg
4 19 6
Direct
0.000 0.737 0.000
0.263 0.263 0.263
0.000 0.000 0.737
0.737 0.000 0.000
0.018 0.257 0.677
0.341 0.323 0.580
0.580 0.341 0.323
0.420 0.743 0.761
0.352 0.000 0.352
0.000 0.648 0.648
0.982 0.659 0.239
0.257 0.677 0.018
0.000 0.352 0.352
0.239 0.982 0.659
0.000 0.000 0.000
0.743 0.761 0.420
0.648 0.000 0.648
0.677 0.018 0.257
0.648 0.648 0.000
0.761 0.420 0.743
0.323 0.580 0.341
0.352 0.352 0.000
0.659 0.239 0.982
0.681 0.500 0.181
0.500 0.819 0.319
0.819 0.319 0.500
0.319 0.500 0.819
0.500 0.181 0.681
0.181 0.681 0.500
```

Results
Space group: I23

Entry 6:
VASP calculation (PBE-GGA) on a relaxed Na2Hg5F12 crystal.

POSCAR file:
```
Na2Hg5F12
1.0
6.189 0.000 0.000
-3.094 6.330 -1.863
0.000 0.047 7.596
F Hg Na
12 5 2
Direct
0.490 0.981 0.205
0.510 0.019 0.795
0.914 0.355 0.103
0.560 0.645 0.897
0.901 0.318 0.568
0.417 0.318 0.568
0.989 0.979 0.221
0.086 0.645 0.897
0.011 0.021 0.779
0.440 0.355 0.103
0.099 0.682 0.432
0.583 0.682 0.432
0.311 0.623 0.649
0.313 0.625 0.164
0.689 0.377 0.351
0.687 0.375 0.836
0.000 0.000 0.500
0.237 0.000 0.000
0.763 0.000 0.000
```

Results
Space group: C2/m

Entry 7:
VASP calculation (PBE-GGA) on a relaxed Na3Hg5F12 crystal.

POSCAR file:
```
Na3Hg5F12
1.0
12.188 0.000 0.000
-4.063 11.491 0.000
-4.063 -5.746 9.952
F Na Hg
48 12 20
Direct
0.780 0.451 0.366
0.951 0.585 0.171
0.671 0.451 0.585
0.866 0.586 0.915
0.829 0.914 0.280
0.134 0.720 0.549
0.366 0.951 0.780
0.866 0.280 0.451
0.329 0.549 0.415
0.280 0.414 0.829
0.415 0.366 0.586
0.366 0.415 0.086
0.951 0.366 0.280
0.280 0.866 0.951
0.134 0.414 0.085
0.585 0.634 0.414
0.049 0.634 0.720
0.586 0.720 0.671
0.329 0.780 0.414
0.914 0.829 0.780
0.086 0.171 0.220
0.085 0.171 0.451
0.671 0.220 0.586
0.414 0.280 0.329
0.085 0.914 0.134
0.829 0.915 0.049
0.451 0.780 0.866
0.634 0.049 0.220
0.720 0.586 0.171
0.915 0.829 0.549
0.586 0.866 0.415
0.451 0.671 0.085
0.780 0.329 0.914
0.549 0.329 0.915
0.549 0.220 0.134
0.720 0.134 0.049
0.414 0.134 0.585
0.049 0.415 0.829
0.220 0.671 0.086
0.220 0.549 0.634
0.634 0.585 0.914
0.415 0.049 0.329
0.915 0.086 0.866
0.171 0.085 0.951
0.171 0.086 0.720
0.086 0.915 0.366
0.914 0.085 0.634
0.585 0.951 0.671
0.875 0.125 0.250
0.875 0.750 0.125
0.250 0.625 0.875
0.625 0.250 0.375
0.375 0.625 0.250
0.750 0.875 0.625
0.125 0.250 0.875
0.625 0.375 0.750
0.125 0.875 0.750
0.250 0.125 0.375
0.375 0.750 0.625
0.750 0.375 0.125
0.125 0.375 0.250
0.250 0.875 0.125
0.250 0.375 0.625
0.875 0.250 0.625
0.500 0.500 0.000
0.500 0.500 0.500
0.625 0.750 0.875
0.500 0.000 0.500
0.375 0.250 0.125
0.625 0.875 0.250
0.000 0.000 0.000
0.750 0.125 0.875
0.000 0.000 0.500
0.000 0.500 0.500
0.875 0.625 0.750
0.375 0.125 0.750
0.500 0.000 0.000
0.000 0.500 0.000
0.125 0.750 0.375
0.750 0.625 0.375
```

Results
Space group: Ia-3d

Entry 8:
VASP calculation (PBE-GGA) on a relaxed NaHg4F10 crystal.

POSCAR file:
```
NaHg4F10
1.0
-1.332 -3.233 -1.843
-0.816 -1.656 3.495
-11.846 7.989 -1.214
Hg Na F
4 1 10
Direct
0.199 0.199 0.399
0.404 0.404 0.808
0.596 0.596 0.192
0.801 0.801 0.601
0.000 0.000 0.000
0.448 0.948 0.897
0.851 0.351 0.703
0.149 0.649 0.297
0.750 0.250 0.500
0.552 0.052 0.103
0.948 0.448 0.897
0.649 0.149 0.297
0.052 0.552 0.103
0.250 0.750 0.500
0.351 0.851 0.703
```

Results
Space group: I4/mmm

Entry 9:
VASP calculation (PBE-GGA) on a relaxed NaHg2F5 crystal.

POSCAR file:
```
NaHg2F5
1.0
-0.597 0.539 4.363
-5.576 0.097 -3.030
-0.888 -11.278 1.272
Hg F Na
4 10 2
Direct
0.136 0.272 0.568
0.864 0.728 0.432
0.136 0.272 0.932
0.864 0.728 0.068
0.051 0.102 0.387
0.704 0.408 0.927
0.051 0.102 0.113
0.225 0.451 0.750
0.704 0.408 0.573
0.949 0.898 0.887
0.296 0.592 0.073
0.949 0.898 0.613
0.775 0.549 0.250
0.296 0.592 0.427
0.189 0.379 0.250
0.811 0.621 0.750
```

Results
Relative energy among the computed polymorphs in meV/atom: 0.0
Space group: Cmcm

Entry 10:
VASP calculation (PBE-GGA) on a relaxed Na6HgF12 crystal.

POSCAR file:
```
Na6HgF12
1.0
6.645 -0.022 -0.026
-1.029 6.565 -0.026
-1.029 -1.198 6.454
F Na Hg
12 6 1
Direct
0.958 0.316 0.057
0.684 0.943 0.042
0.424 0.841 0.541
0.159 0.459 0.576
0.057 0.958 0.316
0.459 0.576 0.159
0.943 0.042 0.684
0.042 0.684 0.943
0.541 0.424 0.841
0.316 0.057 0.958
0.576 0.159 0.459
0.841 0.541 0.424
0.154 0.614 0.291
0.709 0.846 0.386
0.386 0.709 0.846
0.846 0.386 0.709
0.614 0.291 0.154
0.291 0.154 0.614
0.000 0.000 0.000
```

Results
Space group: R-3

Entry 11:
VASP calculation (PBE-GGA) on a relaxed Na2HgF crystal.

POSCAR file:
```
Na2HgF
1.0
3.411 0.000 0.000
1.706 2.954 0.000
1.706 0.985 7.937
Hg Na F
1 2 1
Direct
0.500 0.500 0.501
0.276 0.276 0.171
0.057 0.057 0.828
0.667 0.667 0.999
```

Results
Relative energy among the computed polymorphs in meV/atom: 3.5
Space group: R3m

Entry 12:
VASP calculation (PBE-GGA) on a relaxed Na4HgF7 crystal.

POSCAR file:
```
Na4HgF7
1.0
3.349 0.000 0.000
-1.675 5.381 -1.573
0.000 -0.349 9.811
F Hg Na
7 1 4
Direct
0.510 0.020 0.507
0.339 0.678 0.939
0.268 0.535 0.632
0.748 0.496 0.373
0.949 0.897 0.212
0.039 0.077 0.782
0.651 0.302 0.059
0.893 0.786 0.579
0.996 0.992 0.005
0.696 0.392 0.838
0.110 0.220 0.406
0.302 0.604 0.167
```

Results
Space group: Cm

Ordered energy relative to the elements, uncorrected results: -1.6633 -0.6975 -2.0273 -1.2973 -1.6172 -1.6972 -1.7078 -1.5063 -1.7541 -1.9599 -1.4017 -2.1620; unit eV per atom.